FeReBO | PBE with a Hubbard U | optimized geometry

Unit cell a=6.172 b=6.172 c=6.172 alpha=28.09 beta=28.09 gamma=28.09
Element x y z (fractional)
Fe 0.000 0.000 0.000
Re 0.157 0.157 0.157
B 0.422 0.422 0.422
O 0.273 0.273 0.273

Values from the calculation:
electronic total energy = -7.60 eV/atom
calculated volume = 46.0 Å³/f.u.
density of states at the Fermi level = 1.11 states/eV per cell
spin magnetization = 0.9445 μB/atom